The following is a DFT calculation (PBE) of a geometry-optimized MgTiIO6 structure.

Cell lengths 5.1921, 5.1921, 9.1714 Å; angles 90.00, 90.00, 120.00 degrees
Space group P-31c (No. 163)
Inequivalent atoms, fractional coordinates:
Mg: 0.0000 0.0000 0.0000 (multiplicity 2)
Ti: 0.3333 0.6667 0.2500 (multiplicity 2)
I: 0.3333 0.6667 0.7500 (multiplicity 2)
O: 0.0022 0.3535 0.1335 (multiplicity 12)

Summary:
Magnetization = 0.8 μB per formula unit
Uncorrected energy = -6.166 eV per atom
ρ = 4.58 g cm⁻³
Formation energy from raw total energies = -1.634 eV/atom